Entry 1:
A plane-wave DFT calculation with PBE-GGA was carried out for a relaxed structure of Tb6Er8In.

Values from the calculation:
The energy of formation from the pure elements comes out at 2.1 kJ per mole of atoms. For the energy above the lowest structure with this stoichiometry, the calculation gives 0 meV per atom. Its space group is R-3, No. 148. The volume comes out at 30.8 Å³ per atom.

a = 8.944 Å, b = 8.944 Å, c = 8.442 Å
α = 58.02°, β = 58.02°, γ = 60.00°
Atoms (fractional coordinates):
Tb 0.105 0.230 0.116
Er 0.424 0.424 0.728
Er 0.747 0.716 0.427
In 0.000 0.000 0.000
Tb 0.230 0.548 0.116
Er 0.253 0.284 0.573
Tb 0.452 0.895 0.884
Er 0.716 0.109 0.427
Er 0.576 0.576 0.272
Tb 0.895 0.770 0.884
Er 0.284 0.891 0.573
Er 0.109 0.747 0.427
Er 0.891 0.253 0.573
Tb 0.770 0.452 0.884
Tb 0.548 0.105 0.116

Entry 2:
A plane-wave DFT calculation with PBE-GGA was carried out for a relaxed structure of Pm3YRh.

Values from the calculation:
The energy of formation from the pure elements comes out at -12.8 kJ per mole of atoms. For the energy above the lowest structure with this stoichiometry, the calculation gives 135 meV per atom. Its space group is Pm-3m, No. 221. The volume comes out at 34.0 Å³ per atom.

a = 5.540 Å, b = 5.540 Å, c = 5.540 Å
α = 90.00°, β = 90.00°, γ = 90.00°
Last column: magnetic moment on the atom in μB.
Atoms (fractional coordinates):
Pm 0.500 0.000 0.000  0.06
Pm 0.000 0.000 0.500  0.06
Pm 0.000 0.500 0.000  0.06
Rh 0.000 0.000 0.000  0.02
Y 0.500 0.500 0.500  0.17

Entry 3:
A plane-wave DFT calculation with PBE-GGA was carried out for a relaxed structure of SrPW.

Values from the calculation:
The energy of formation from the pure elements comes out at 3.0 kJ per mole of atoms. For the energy above the lowest structure with this stoichiometry, the calculation gives 428 meV per atom. Its space group is P-6m2, No. 187. The volume comes out at 23.6 Å³ per atom.

a = 4.122 Å, b = 4.122 Å, c = 4.816 Å
α = 90.00°, β = 90.00°, γ = 120.00°
Atoms (fractional coordinates):
W 0.333 0.667 0.500
P 0.000 0.000 0.500
Sr 0.667 0.333 0.000

Entry 4:
A plane-wave DFT calculation with PBE-GGA was carried out for a relaxed structure of Hf3Be8Ir.

Values from the calculation:
The energy of formation from the pure elements comes out at -27.9 kJ per mole of atoms. Its space group is R3m, No. 160. The volume comes out at 11.9 Å³ per atom.

a = 4.624 Å, b = 4.624 Å, c = 8.147 Å
α = 73.51°, β = 73.51°, γ = 60.00°
Atoms (fractional coordinates):
Be 0.941 0.941 0.681
Hf 0.996 0.996 0.012
Be 0.941 0.437 0.681
Hf 0.503 0.503 0.491
Be 0.437 0.941 0.681
Be 0.933 0.436 0.196
Be 0.436 0.933 0.196
Be 0.686 0.686 0.941
Hf 0.377 0.377 0.870
Be 0.188 0.188 0.437
Be 0.436 0.436 0.196
Ir 0.876 0.876 0.371

Entry 5:
A plane-wave DFT calculation with PBE-GGA was carried out for a relaxed structure of SmHo2Sc3S6.

Values from the calculation:
Its formation energy from raw total energies is -1918.2 meV per atom. Its space group is C2/m, No. 12. The volume comes out at 19.6 Å³ per atom.

a = 3.799 Å, b = 7.659 Å, c = 8.516 Å
α = 103.14°, β = 102.89°, γ = 90.00°
Atoms (fractional coordinates):
Sm 0.500 0.000 0.000
Ho 0.166 0.331 0.331
Sc 0.165 0.834 0.330
Ho 0.834 0.669 0.669
S 0.664 0.591 0.328
S 0.327 0.922 0.654
S 0.003 0.734 0.006
S 0.336 0.409 0.672
Sc 0.835 0.166 0.670
Sc 0.500 0.500 0.000
S 0.673 0.078 0.346
S 0.997 0.266 0.994

Entry 6:
A plane-wave DFT calculation with PBE-GGA was carried out for a relaxed structure of LiDy2Ge.

Values from the calculation:
The energy of formation from the pure elements comes out at -40.1 kJ per mole of atoms. Its space group is P4/mmm, No. 123. The volume comes out at 22.8 Å³ per atom.

a = 3.975 Å, b = 4.789 Å, c = 4.789 Å
α = 90.00°, β = 90.00°, γ = 90.00°
Atoms (fractional coordinates):
Ge 0.500 0.500 0.500
Dy 0.000 0.500 0.000
Li 0.500 0.000 0.000
Dy 0.000 0.000 0.500

Entry 7:
A plane-wave DFT calculation with PBE-GGA was carried out for a relaxed structure of U2Zn16Si.

Values from the calculation:
Its formation energy from raw total energies is -31.0 meV per atom. Its space group is R3m, No. 160. The volume comes out at 16.1 Å³ per atom.

a = 6.781 Å, b = 6.781 Å, c = 6.781 Å
α = 83.85°, β = 83.85°, γ = 83.85°
Last column: magnetic moment on the atom in μB.
Atoms (fractional coordinates):
Zn 0.351 0.835 0.351  0.00
U 0.335 0.335 0.335  2.46
Zn 0.649 0.166 0.649  0.00
Zn 0.166 0.649 0.649  0.00
Zn 0.092 0.092 0.092  -0.01
Zn 0.001 0.306 0.695  0.01
U 0.669 0.669 0.669  2.42
Zn 0.649 0.649 0.166  0.00
Zn 0.493 0.005 0.005  0.00
Zn 0.005 0.493 0.005  0.00
Si 0.894 0.894 0.894  -0.01
Zn 0.306 0.695 0.001  0.01
Zn 0.695 0.306 0.001  0.01
Zn 0.835 0.351 0.351  0.00
Zn 0.005 0.005 0.493  0.00
Zn 0.695 0.001 0.306  0.01
Zn 0.306 0.001 0.695  0.01
Zn 0.001 0.695 0.306  0.01
Zn 0.351 0.351 0.835  0.00

Entry 8:
A plane-wave DFT calculation with PBE-GGA was carried out for a relaxed structure of KRbZrTe3.

Values from the calculation:
Its formation energy from raw total energies is -823.7 meV per atom. Its space group is C2/m, No. 12. The volume comes out at 41.5 Å³ per atom.

a = 7.425 Å, b = 7.425 Å, c = 9.851 Å
α = 75.73°, β = 75.73°, γ = 74.78°
Atoms (fractional coordinates):
Zr 0.087 0.087 0.853
Te 0.241 0.241 0.582
Rb 0.664 0.664 0.824
Rb 0.336 0.336 0.176
Te 0.128 0.699 0.873
Te 0.759 0.759 0.418
Te 0.699 0.128 0.873
Zr 0.913 0.913 0.147
K 0.239 0.761 0.500
Te 0.872 0.301 0.127
Te 0.301 0.872 0.127
K 0.761 0.239 0.500

Entry 9:
A plane-wave DFT calculation with PBE-GGA was carried out for a relaxed structure of YSc2Fe.

Values from the calculation:
The energy of formation from the pure elements comes out at 25.6 kJ per mole of atoms. For the energy above the lowest structure with this stoichiometry, the calculation gives 314 meV per atom. Its space group is R-3m, No. 166. The volume comes out at 23.2 Å³ per atom.

a = 10.297 Å, b = 10.297 Å, c = 10.297 Å
α = 18.20°, β = 18.20°, γ = 18.20°
Last column: magnetic moment on the atom in μB.
Atoms (fractional coordinates):
Sc 0.892 0.892 0.892  -0.33
Y 0.000 0.000 0.000  -0.07
Fe 0.500 0.500 0.500  1.40
Sc 0.108 0.108 0.108  -0.33

Entry 10:
A plane-wave DFT calculation with PBE-GGA was carried out for a relaxed structure of NbMoWN2.

Values from the calculation:
Its formation energy from raw total energies is 1250.2 meV per atom. Its space group is P4/mmm, No. 123. The volume comes out at 16.7 Å³ per atom.

a = 3.856 Å, b = 5.599 Å, c = 3.856 Å
α = 90.00°, β = 90.00°, γ = 90.00°
Atoms (fractional coordinates):
Mo 0.500 0.500 0.500
W 0.000 0.000 0.000
N 0.000 0.000 0.500
N 0.500 0.000 0.000
Nb 0.000 0.500 0.000

Entry 11:
A plane-wave DFT calculation with PBE-GGA was carried out for a relaxed structure of Pm2PrNd.

Values from the calculation:
The energy of formation from the pure elements comes out at 1.3 kJ per mole of atoms. For the energy above the lowest structure with this stoichiometry, the calculation gives 6 meV per atom. Its space group is P4/mmm, No. 123. The volume comes out at 35.0 Å³ per atom.

a = 5.190 Å, b = 5.194 Å, c = 5.194 Å
α = 90.00°, β = 90.00°, γ = 90.00°
Atoms (fractional coordinates):
Nd 0.500 0.000 0.000
Pm 0.000 0.000 0.500
Pr 0.500 0.500 0.500
Pm 0.000 0.500 0.000

Entry 12:
A plane-wave DFT calculation with PBE-GGA was carried out for a relaxed structure of LaH4N2.

Values from the calculation:
Its space group is I4/mmm, No. 139. The volume comes out at 11.1 Å³ per atom. For the total energy, the calculation gives -4.3315 eV per atom.

a = 3.867 Å, b = 3.867 Å, c = 5.885 Å
α = 70.82°, β = 70.82°, γ = 90.00°
Last column: magnetic moment on the atom in μB.
Atoms (fractional coordinates):
H 0.283 0.283 0.433  0.00
La 0.000 0.000 0.000  -0.01
N 0.616 0.616 0.768  0.13
H 0.000 0.500 0.000  -0.01
N 0.384 0.384 0.232  0.13
H 0.717 0.717 0.567  0.00
H 0.500 0.000 0.000  -0.01